Entry 1:
# KLaAu2Br | Alexandria | GGA-PBE | relaxed
data_KLaAu2Br
_chemical_formula_sum 'K1 La1 Au2 Br1'
_space_group_name_H-M_alt 'P 1'
_space_group_IT_number 1
_space_group_name_Hall 'P 1'
_cell_length_a 6.006
_cell_length_b 6.006
_cell_length_c 5.360
_cell_angle_alpha 90.00
_cell_angle_beta 90.00
_cell_angle_gamma 90.00
loop_
_atom_site_label
_atom_site_type_symbol
_atom_site_fract_x
_atom_site_fract_y
_atom_site_fract_z
K1 K 0.500 0.500 0.500
Au1 Au 0.000 0.500 0.000
Au2 Au 0.500 0.000 0.000
Br1 Br 0.000 0.000 0.000
La1 La 0.000 0.000 0.500
# - energy relative to the elements, uncorrected (eV/atom) = 0.066
# - D(E_F) (states/eV/f.u.) = 4.60
# - M_tot (μB per atom) = 0.000
# - calculated total energy (eV/atom) = -2.784

Entry 2:
# PaCuAu2 | Alexandria | GGA-PBE | relaxed
data_PaCuAu2
_chemical_formula_sum 'Pa2 Cu2 Au4'
_space_group_name_H-M_alt 'P 1'
_space_group_IT_number 1
_space_group_name_Hall 'P 1'
_cell_length_a 4.210
_cell_length_b 5.369
_cell_length_c 7.376
_cell_angle_alpha 90.00
_cell_angle_beta 90.00
_cell_angle_gamma 113.09
loop_
_atom_site_label
_atom_site_type_symbol
_atom_site_fract_x
_atom_site_fract_y
_atom_site_fract_z
Pa1 Pa 0.431 0.861 0.250
Pa2 Pa 0.569 0.139 0.750
Cu1 Cu 0.720 0.441 0.250
Cu2 Cu 0.280 0.559 0.750
Au1 Au 0.137 0.276 0.447
Au2 Au 0.863 0.724 0.553
Au3 Au 0.863 0.724 0.947
Au4 Au 0.137 0.276 0.053
# - D(E_F) (states/eV/f.u.) = 3.85
# - E above lowest polymorph (eV per formula unit) = 0.000
# - DFT formation energy (eV/atom) = -0.311
# - M_tot (μB per atom) = 0.085
# - calculated total energy (eV/atom) = -5.348

Entry 3:
# Nd3TeI7 | Alexandria | GGA-PBE | relaxed
data_Nd3TeI7
_chemical_formula_sum 'Nd3 Te1 I7'
_space_group_name_H-M_alt 'P 1'
_space_group_IT_number 1
_space_group_name_Hall 'P 1'
_cell_length_a 7.460
_cell_length_b 9.119
_cell_length_c 9.119
_cell_angle_alpha 120.00
_cell_angle_beta 90.00
_cell_angle_gamma 90.00
loop_
_atom_site_label
_atom_site_type_symbol
_atom_site_fract_x
_atom_site_fract_y
_atom_site_fract_z
Nd1 Nd 0.777 0.495 0.505
Nd2 Nd 0.777 0.495 0.989
Nd3 Nd 0.777 0.011 0.505
Te1 Te 0.543 0.333 0.667
I1 I 0.022 0.171 0.829
I2 I 0.022 0.171 0.342
I3 I 0.027 0.667 0.333
I4 I 0.549 0.829 0.171
I5 I 0.549 0.342 0.171
I6 I 0.549 0.829 0.658
I7 I 0.022 0.658 0.829
# - energy relative to the elements, uncorrected (eV/atom) = -1.402
# - D(E_F) (states/eV/f.u.) = 0.00
# - M_tot (μB per atom) = 0.000
# - calculated total energy (eV/atom) = -3.974

Entry 4:
# TiCrTePS | Alexandria | GGA-PBE | relaxed
data_TiCrTePS
_chemical_formula_sum 'Ti1 Cr1 Te1 P1 S1'
_space_group_name_H-M_alt 'P 1'
_space_group_IT_number 1
_space_group_name_Hall 'P 1'
_cell_length_a 4.120
_cell_length_b 3.055
_cell_length_c 7.611
_cell_angle_alpha 90.00
_cell_angle_beta 105.51
_cell_angle_gamma 90.00
loop_
_atom_site_label
_atom_site_type_symbol
_atom_site_fract_x
_atom_site_fract_y
_atom_site_fract_z
Ti1 Ti 0.795 0.000 0.029
Cr1 Cr 0.417 0.000 0.274
Te1 Te 0.597 0.000 0.643
P1 P 0.295 0.500 0.029
S1 S 0.925 0.500 0.292
# - energy relative to the elements, uncorrected (eV/atom) = -0.471
# - D(E_F) (states/eV/f.u.) = 3.27
# - E above lowest polymorph (eV per formula unit) = 1.311
# - M_tot (μB per atom) = 0.188
# - calculated total energy (eV/atom) = -6.510

Entry 5:
# Pr3SiICl | Alexandria | GGA-PBE | relaxed
data_Pr3SiICl
_chemical_formula_sum 'Pr6 Si2 I2 Cl2'
_space_group_name_H-M_alt 'P 1'
_space_group_IT_number 1
_space_group_name_Hall 'P 1'
_cell_length_a 4.231
_cell_length_b 9.406
_cell_length_c 10.060
_cell_angle_alpha 92.57
_cell_angle_beta 90.00
_cell_angle_gamma 90.00
loop_
_atom_site_label
_atom_site_type_symbol
_atom_site_fract_x
_atom_site_fract_y
_atom_site_fract_z
Pr1 Pr 0.750 0.840 0.137
Pr2 Pr 0.250 0.160 0.863
Pr3 Pr 0.250 0.658 0.425
Pr4 Pr 0.750 0.342 0.575
Pr5 Pr 0.750 0.413 0.154
Pr6 Pr 0.250 0.587 0.846
Si1 Si 0.250 0.630 0.140
Si2 Si 0.750 0.370 0.860
I1 I 0.250 0.128 0.185
I2 I 0.750 0.872 0.815
Cl1 Cl 0.250 0.135 0.578
Cl2 Cl 0.750 0.865 0.422
# - energy relative to the elements, uncorrected (eV/atom) = -1.065
# - D(E_F) (states/eV/f.u.) = 2.71
# - M_tot (μB per atom) = 0.149
# - calculated total energy (eV/atom) = -4.925

Entry 6:
# Li3LaAu3 | Alexandria | GGA-PBE | relaxed
data_Li3LaAu3
_chemical_formula_sum 'Li6 La2 Au6'
_space_group_name_H-M_alt 'P 1'
_space_group_IT_number 1
_space_group_name_Hall 'P 1'
_cell_length_a 6.743
_cell_length_b 6.743
_cell_length_c 6.743
_cell_angle_alpha 90.00
_cell_angle_beta 90.00
_cell_angle_gamma 90.00
loop_
_atom_site_label
_atom_site_type_symbol
_atom_site_fract_x
_atom_site_fract_y
_atom_site_fract_z
Li1 Li 0.250 0.000 0.500
Li2 Li 0.000 0.500 0.250
Li3 Li 0.500 0.750 0.000
Li4 Li 0.750 0.000 0.500
Li5 Li 0.000 0.500 0.750
Li6 Li 0.500 0.250 0.000
Au1 Au 0.000 0.250 0.500
Au2 Au 0.000 0.750 0.500
Au3 Au 0.500 0.000 0.750
Au4 Au 0.750 0.500 0.000
Au5 Au 0.500 0.000 0.250
Au6 Au 0.250 0.500 0.000
La1 La 0.500 0.500 0.500
La2 La 0.000 0.000 0.000
# - D(E_F) (states/eV/f.u.) = 2.39
# - E above lowest polymorph (eV per formula unit) = 2.333
# - DFT formation energy (eV/atom) = -0.242
# - M_tot (μB per atom) = 0.000
# - calculated total energy (eV/atom) = -3.171

Entry 7:
# Pm3P2PdRh9 | Alexandria | GGA-PBE | relaxed
data_Pm3P2PdRh9
_chemical_formula_sum 'Pm3 P2 Pd1 Rh9'
_space_group_name_H-M_alt 'P 1'
_space_group_IT_number 1
_space_group_name_Hall 'P 1'
_cell_length_a 6.004
_cell_length_b 6.004
_cell_length_c 9.158
_cell_angle_alpha 90.00
_cell_angle_beta 90.00
_cell_angle_gamma 120.00
loop_
_atom_site_label
_atom_site_type_symbol
_atom_site_fract_x
_atom_site_fract_y
_atom_site_fract_z
Pm1 Pm 0.333 0.667 0.647
Pm2 Pm 0.000 0.000 0.000
Pm3 Pm 0.667 0.333 0.353
P1 P 0.333 0.667 0.160
P2 P 0.667 0.333 0.840
Pd1 Pd 0.000 0.000 0.500
Rh1 Rh 0.848 0.152 0.723
Rh2 Rh 0.848 0.696 0.723
Rh3 Rh 0.304 0.152 0.723
Rh4 Rh 0.696 0.848 0.277
Rh5 Rh 0.152 0.304 0.277
Rh6 Rh 0.152 0.848 0.277
Rh7 Rh 0.500 0.000 0.000
Rh8 Rh 0.000 0.500 0.000
Rh9 Rh 0.500 0.500 0.000
# - D(E_F) (states/eV/f.u.) = 11.92
# - DFT formation energy (eV/atom) = -0.504
# - M_tot (μB per atom) = 0.000
# - calculated total energy (eV/atom) = -6.933

Entry 8:
# Tc2Mo | Alexandria | GGA-PBE | relaxed
data_Tc2Mo
_chemical_formula_sum 'Tc2 Mo1'
_space_group_name_H-M_alt 'P 1'
_space_group_IT_number 1
_space_group_name_Hall 'P 1'
_cell_length_a 4.396
_cell_length_b 4.396
_cell_length_c 2.725
_cell_angle_alpha 90.00
_cell_angle_beta 90.00
_cell_angle_gamma 120.00
loop_
_atom_site_label
_atom_site_type_symbol
_atom_site_fract_x
_atom_site_fract_y
_atom_site_fract_z
Tc1 Tc 0.667 0.333 0.000
Tc2 Tc 0.333 0.667 0.000
Mo1 Mo 0.000 0.000 0.500
# - D(E_F) (states/eV/f.u.) = 4.19
# - E above lowest polymorph (eV per formula unit) = 0.255
# - DFT formation energy (eV/atom) = 0.194
# - M_tot (μB per atom) = 0.000
# - calculated total energy (eV/atom) = -10.327

Entry 9:
# RbLiUBr6 | Alexandria | GGA-PBE | relaxed
data_RbLiUBr6
_chemical_formula_sum 'Rb2 Li2 U2 Br12'
_space_group_name_H-M_alt 'P 1'
_space_group_IT_number 1
_space_group_name_Hall 'P 1'
_cell_length_a 7.234
_cell_length_b 7.234
_cell_length_c 15.478
_cell_angle_alpha 90.00
_cell_angle_beta 90.00
_cell_angle_gamma 120.00
loop_
_atom_site_label
_atom_site_type_symbol
_atom_site_fract_x
_atom_site_fract_y
_atom_site_fract_z
Rb1 Rb 0.000 0.000 0.000
Rb2 Rb 0.000 0.000 0.500
Li1 Li 0.667 0.333 0.250
Li2 Li 0.333 0.667 0.750
U1 U 0.333 0.667 0.250
U2 U 0.667 0.333 0.750
Br1 Br 0.628 0.629 0.146
Br2 Br 0.001 0.372 0.146
Br3 Br 0.372 0.001 0.646
Br4 Br 0.999 0.628 0.854
Br5 Br 0.371 0.372 0.354
Br6 Br 0.001 0.629 0.354
Br7 Br 0.629 0.001 0.854
Br8 Br 0.628 0.999 0.354
Br9 Br 0.999 0.371 0.646
Br10 Br 0.371 0.999 0.146
Br11 Br 0.629 0.628 0.646
Br12 Br 0.372 0.371 0.854
# - energy relative to the elements, uncorrected (eV/atom) = -1.483
# - D(E_F) (states/eV/f.u.) = 4.34
# - M_tot (μB per atom) = 0.222
# - calculated total energy (eV/atom) = -4.173

Entry 10:
# Cs2Sb2Br | Alexandria | GGA-PBE | relaxed
data_Cs2Sb2Br
_chemical_formula_sum 'Cs2 Sb2 Br1'
_space_group_name_H-M_alt 'P 1'
_space_group_IT_number 1
_space_group_name_Hall 'P 1'
_cell_length_a 4.370
_cell_length_b 4.370
_cell_length_c 11.405
_cell_angle_alpha 78.95
_cell_angle_beta 78.95
_cell_angle_gamma 90.00
loop_
_atom_site_label
_atom_site_type_symbol
_atom_site_fract_x
_atom_site_fract_y
_atom_site_fract_z
Cs1 Cs 0.403 0.403 0.194
Cs2 Cs 0.597 0.597 0.806
Sb1 Sb 0.750 0.250 0.500
Sb2 Sb 0.250 0.750 0.500
Br1 Br 0.000 0.000 0.000
# - energy relative to the elements, uncorrected (eV/atom) = -0.838
# - D(E_F) (states/eV/f.u.) = 1.68
# - E above lowest polymorph (eV per formula unit) = 0.000
# - M_tot (μB per atom) = 0.000
# - calculated total energy (eV/atom) = -3.163

Entry 11:
# Pr3SmDy7 | Alexandria | GGA-PBE | relaxed
data_Pr3SmDy7
_chemical_formula_sum 'Pr3 Sm1 Dy7'
_space_group_name_H-M_alt 'P 1'
_space_group_IT_number 1
_space_group_name_Hall 'P 1'
_cell_length_a 8.949
_cell_length_b 10.136
_cell_length_c 5.566
_cell_angle_alpha 90.02
_cell_angle_beta 128.41
_cell_angle_gamma 106.01
loop_
_atom_site_label
_atom_site_type_symbol
_atom_site_fract_x
_atom_site_fract_y
_atom_site_fract_z
Pr1 Pr 0.217 0.999 0.717
Pr2 Pr 0.000 0.500 0.000
Pr3 Pr 0.783 0.001 0.283
Sm1 Sm 0.500 0.500 0.500
Dy1 Dy 0.912 0.830 0.912
Dy2 Dy 0.816 0.638 0.316
Dy3 Dy 0.644 0.289 0.144
Dy4 Dy 0.356 0.711 0.856
Dy5 Dy 0.500 0.000 0.500
Dy6 Dy 0.184 0.362 0.684
Dy7 Dy 0.088 0.170 0.088
# - D(E_F) (states/eV/f.u.) = 16.08
# - E above lowest polymorph (eV per formula unit) = 0.000
# - DFT formation energy (eV/atom) = 0.144
# - M_tot (μB per atom) = 0.000
# - calculated total energy (eV/atom) = -4.517

Entry 12:
# PmPaCu4 | Alexandria | GGA-PBE | relaxed
data_PmPaCu4
_chemical_formula_sum 'Pm1 Pa1 Cu4'
_space_group_name_H-M_alt 'P 1'
_space_group_IT_number 1
_space_group_name_Hall 'P 1'
_cell_length_a 5.257
_cell_length_b 5.257
_cell_length_c 5.257
_cell_angle_alpha 60.00
_cell_angle_beta 60.00
_cell_angle_gamma 60.00
loop_
_atom_site_label
_atom_site_type_symbol
_atom_site_fract_x
_atom_site_fract_y
_atom_site_fract_z
Pa1 Pa 0.250 0.250 0.250
Cu1 Cu 0.625 0.625 0.126
Cu2 Cu 0.625 0.126 0.625
Cu3 Cu 0.625 0.625 0.625
Cu4 Cu 0.126 0.625 0.625
Pm1 Pm 0.000 0.000 0.000
# - D(E_F) (states/eV/f.u.) = 8.22
# - DFT formation energy (eV/atom) = 0.020
# - M_tot (μB per atom) = 0.000
# - calculated total energy (eV/atom) = -5.085